Entry 1:
DFT (PBE) results for CsSb3Au after structural relaxation.

Density of states at the Fermi level in states/eV/f.u.: 4.558
Symmetry: Pm-3m (221)
Formation energy from raw total energies in eV per atom: 0.19
E_tot in eV per cell: -15.54
E above lowest polymorph in eV/f.u.: 2.13

a b c (Å): 5.621 5.621 5.621
angles (deg): 90.00 90.00 90.00
Element x y z (fractional)
Cs 0.000 0.000 0.000
Sb 0.000 0.500 0.500
Sb 0.500 0.000 0.500
Sb 0.500 0.500 0.000
Au 0.500 0.500 0.500

Entry 2:
DFT (PBE) results for Cs2Sb5Au3 after structural relaxation.

Density of states at the Fermi level in states/eV/f.u.: 4.243
Symmetry: Ibam (72)
Formation energy from raw total energies in eV per atom: -0.23
E_tot in eV per cell: -68.88

a b c (Å): 9.925 9.925 9.925
angles (deg): 110.17 85.86 136.67
Element x y z (fractional)
Cs 0.125 0.247 0.372
Cs 0.375 0.747 0.121
Cs 0.625 0.253 0.879
Cs 0.875 0.753 0.628
Sb 0.001 0.750 0.251
Sb 0.115 0.870 0.985
Sb 0.250 0.750 0.500
Sb 0.385 0.370 0.754
Sb 0.499 0.750 0.749
Sb 0.501 0.250 0.251
Sb 0.615 0.630 0.246
Sb 0.750 0.250 0.500
Sb 0.885 0.130 0.015
Sb 0.999 0.250 0.749
Au 0.124 0.612 0.736
Au 0.250 0.250 0.000
Au 0.376 0.112 0.487
Au 0.624 0.888 0.513
Au 0.750 0.750 0.000
Au 0.876 0.388 0.264

Entry 3:
DFT (PBE) results for CsSb2Au2 after structural relaxation.

Density of states at the Fermi level in states/eV/f.u.: 8.595
Symmetry: P4/mbm (127)
Formation energy from raw total energies in eV per atom: 0.02
E_tot in eV per cell: -31.06

a b c (Å): 9.067 9.067 3.324
angles (deg): 90.00 90.00 90.00
Element x y z (fractional)
Cs 0.000 0.000 0.000
Cs 0.500 0.500 0.000
Sb 0.133 0.367 0.000
Sb 0.367 0.867 0.000
Sb 0.633 0.133 0.000
Sb 0.867 0.633 0.000
Au 0.155 0.655 0.500
Au 0.345 0.155 0.500
Au 0.655 0.845 0.500
Au 0.845 0.345 0.500

Entry 4:
DFT (PBE) results for CsSbAu3 after structural relaxation.

Density of states at the Fermi level in states/eV/f.u.: 2.493
Symmetry: I-4m2 (119)
Formation energy from raw total energies in eV per atom: -0.16
E_tot in eV per cell: -31.26
E above lowest polymorph in eV/f.u.: 0.53

a b c (Å): 13.908 13.908 13.908
angles (deg): 158.16 158.16 31.07
Element x y z (fractional)
Cs 0.000 0.000 0.000
Cs 0.750 0.250 0.500
Sb 0.141 0.641 0.500
Sb 0.359 0.859 0.500
Au 0.374 0.124 0.251
Au 0.388 0.388 0.000
Au 0.612 0.612 0.000
Au 0.873 0.124 0.749
Au 0.876 0.127 0.251
Au 0.876 0.626 0.749

Entry 5:
DFT (PBE) results for CsSb2Au5 after structural relaxation.

Density of states at the Fermi level in states/eV/f.u.: 2.666
Symmetry: Immm (71)
Formation energy from raw total energies in eV per atom: -0.12
E_tot in eV per cell: -26.46

a b c (Å): 7.111 7.111 7.111
angles (deg): 139.64 115.98 78.46
Element x y z (fractional)
Cs 0.000 0.000 0.000
Sb 0.254 0.754 0.500
Sb 0.746 0.246 0.500
Au 0.182 0.365 0.818
Au 0.453 0.635 0.818
Au 0.500 0.000 0.500
Au 0.547 0.365 0.182
Au 0.818 0.635 0.182

Entry 6:
DFT (PBE) results for CsSb6Au12 after structural relaxation.

Density of states at the Fermi level in states/eV/f.u.: 7.046
Symmetry: R-3 (148)
Formation energy from raw total energies in eV per atom: -0.01
E_tot in eV per cell: -65.18

a b c (Å): 8.040 8.040 8.040
angles (deg): 99.48 99.48 99.48
Element x y z (fractional)
Cs 0.000 0.000 0.000
Sb 0.048 0.289 0.587
Sb 0.289 0.587 0.048
Sb 0.413 0.952 0.711
Sb 0.587 0.048 0.289
Sb 0.711 0.413 0.952
Sb 0.952 0.711 0.413
Au 0.182 0.650 0.712
Au 0.184 0.449 0.334
Au 0.288 0.818 0.350
Au 0.334 0.184 0.449
Au 0.350 0.288 0.818
Au 0.449 0.334 0.184
Au 0.551 0.666 0.816
Au 0.650 0.712 0.182
Au 0.666 0.816 0.551
Au 0.712 0.182 0.650
Au 0.816 0.551 0.666
Au 0.818 0.350 0.288

Entry 7:
DFT (PBE) results for Cs2Sb2Au5 after structural relaxation.

Density of states at the Fermi level in states/eV/f.u.: 0.923
Symmetry: C2/m (12)
Formation energy from raw total energies in eV per atom: -0.30
E_tot in eV per cell: -29.03

a b c (Å): 7.985 7.985 9.670
angles (deg): 91.23 91.23 33.88
Element x y z (fractional)
Cs 0.104 0.104 0.282
Cs 0.896 0.896 0.718
Sb 0.358 0.358 0.153
Sb 0.642 0.642 0.847
Au 0.214 0.214 0.937
Au 0.441 0.441 0.399
Au 0.500 0.500 0.000
Au 0.559 0.559 0.601
Au 0.786 0.786 0.063

Entry 8:
DFT (PBE) results for CsSb3Au after structural relaxation.

Density of states at the Fermi level in states/eV/f.u.: 10.783
Symmetry: Pm-3m (221)
Formation energy from raw total energies in eV per atom: 1.79
E_tot in eV per cell: -7.57
E above lowest polymorph in eV/f.u.: 10.10

a b c (Å): 6.168 6.168 6.168
angles (deg): 90.00 90.00 90.00
Element x y z (fractional)
Cs 0.000 0.000 0.000
Sb 0.000 0.000 0.500
Sb 0.000 0.500 0.000
Sb 0.500 0.000 0.000
Au 0.500 0.500 0.500

Entry 9:
DFT (PBE) results for CsSbAu3 after structural relaxation.

Density of states at the Fermi level in states/eV/f.u.: 3.114
Symmetry: I-4m2 (119)
Formation energy from raw total energies in eV per atom: -0.13
E_tot in eV per cell: -30.91
E above lowest polymorph in eV/f.u.: 0.71

a b c (Å): 9.581 9.581 9.581
angles (deg): 140.35 140.35 57.32
Element x y z (fractional)
Cs 0.126 0.126 0.000
Cs 0.874 0.874 0.000
Sb 0.500 0.500 0.000
Sb 0.750 0.250 0.500
Au 0.145 0.362 0.784
Au 0.510 0.010 0.500
Au 0.578 0.362 0.216
Au 0.638 0.422 0.784
Au 0.638 0.855 0.216
Au 0.990 0.490 0.500

Entry 10:
DFT (PBE) results for Cs2Sb2Au after structural relaxation.

Density of states at the Fermi level in states/eV/f.u.: 2.378
Symmetry: C2/m (12)
Formation energy from raw total energies in eV per atom: -0.38
E_tot in eV per cell: -30.26

a b c (Å): 7.670 7.670 12.679
angles (deg): 111.84 111.84 36.83
Element x y z (fractional)
Cs 0.134 0.134 0.410
Cs 0.278 0.278 0.854
Cs 0.722 0.722 0.146
Cs 0.866 0.866 0.590
Sb 0.022 0.022 0.900
Sb 0.418 0.418 0.391
Sb 0.582 0.582 0.609
Sb 0.978 0.978 0.100
Au 0.463 0.463 0.199
Au 0.537 0.537 0.801